The following is a DFT calculation (GGA-PBE) of a relaxed V3SbSe crystal.

Lattice parameters (Å, degrees): 5.1060 5.1060 5.1060 90.00 90.00 90.00
With the nearest neighbours (Å) after each atom.
Fractional positions:
1 Sb 0.0000 0.0000 0.0000  6 V 2.55
2 V 0.0000 0.5000 0.0000  2 Sb 2.55
3 V 0.0000 0.0000 0.5000  2 Sb 2.55
4 V 0.5000 0.0000 0.0000  2 Sb 2.55
5 Se 0.5000 0.5000 0.5000  12 V 3.61

Summary:
M_tot = 10.00 μB/f.u.
DOS(E_F) = 9.948 states/eV/cell
calculated volume = 26.625 Å³ per atom
SG = Pm-3m (221)
ΔE to the lowest computed polymorph = 660 meV/atom
ΔE_f (raw) = 1138 meV/atom